A relaxed structure of Ga2HgAs2. Source: the Alexandria database, functional PBE.

```
5
Lattice="-2.320 2.320 5.122 2.320 -2.320 5.122 2.320 2.320 -5.122" Properties=species:S:1:pos:R:3 pbc="T T T"
Ga 0.000 0.000 1.249
Ga 0.000 0.000 8.995
Hg 0.000 0.000 5.122
As 2.320 0.000 2.561
As 0.000 2.320 2.561
```

Results
Theoretical density, g/cm3: 7.4
ΔH_f (0 K), kJ/mol of atoms: 7.4
Space-group type: I4/mmm, No. 139
Energy above the most stable polymorph in this dataset, kJ per mole of atoms: 9.9
E_tot, eV for the cell shown: -15.27